Record 1
VASP calculation (PBEsol) on a relaxed MgPt2Au crystal.

```
MgPt2Au
1.0
2.8437 0.0000 0.0000
0.0000 3.9059 0.0000
0.0000 0.0000 5.6546
Mg Pt Au
1 2 1
Direct
0.0000 0.0000 0.0000
0.5000 0.5000 0.2441
0.5000 0.5000 0.7559
0.0000 0.0000 0.5000
```

Output
* total magnetization: 0.00 μB per formula unit
* DOS at the Fermi energy: 0.4612 states/eV/atom
* calculated volume: 15.7 Å³/atom
* SG: Pmmm (47)
* formation energy from the elements: -0.4083 eV/atom

Record 2
VASP calculation (PBEsol) on a relaxed SrCu2Sn2 crystal.

```
SrCu2Sn2
1.0
5.5794 -2.1359 0.0000
5.5794 2.1359 0.0000
-1.5064 0.0000 4.5516
Sr Cu Sn
1 2 2
Direct
0.0000 0.0000 0.0000
0.2586 0.2586 0.8602
0.7414 0.7414 0.1398
0.3557 0.3557 0.4284
0.6443 0.6443 0.5716
```

Output
* total magnetization: 0.00 μB per formula unit
* DOS at the Fermi energy: 0.3840 states/eV/atom
* calculated volume: 21.7 Å³/atom
* SG: C2/m (12)
* formation energy from the elements: -0.3719 eV/atom

Record 3
VASP calculation (PBEsol) on a relaxed NiIr2Os crystal.

```
NiIr2Os
1.0
2.6953 0.0000 0.0000
0.0000 2.6953 0.0000
0.0000 0.0000 7.2708
Ni Ir Os
1 2 1
Direct
0.0000 0.0000 0.0000
0.5000 0.5000 0.2422
0.5000 0.5000 0.7578
0.0000 0.0000 0.5000
```

Output
* total magnetization: 0.27 μB per formula unit
* DOS at the Fermi energy: 1.3567 states/eV/atom
* calculated volume: 13.2 Å³/atom
* SG: P4/mmm (123)
* formation energy from the elements: 0.0226 eV/atom

Record 4
VASP calculation (PBEsol) on a relaxed Ni6Pt5 crystal.

```
Ni6Pt5
1.0
4.5070 0.0000 0.0000
-0.7944 5.8134 0.0000
-1.5190 -2.0027 5.3197
Ni Pt
6 5
Direct
0.0000 0.0000 0.0000
0.0865 0.8139 0.3610
0.1787 0.6349 0.7194
0.2720 0.4506 0.0913
0.3597 0.2722 0.4474
0.6294 0.7196 0.5377
0.4488 0.0736 0.8075
0.5261 0.8984 0.1817
0.7277 0.5525 0.8998
0.8246 0.3722 0.2754
0.9160 0.1801 0.6349
```

Output
* total magnetization: 5.87 μB per formula unit
* DOS at the Fermi energy: 1.5850 states/eV/atom
* calculated volume: 12.7 Å³/atom
* SG: P1 (1)
* formation energy from the elements: -0.0502 eV/atom

Record 5
VASP calculation (PBEsol) on a relaxed GaSiH2 crystal.

```
GaSiH2
1.0
0.0000 2.6775 2.6775
2.6775 0.0000 2.6775
2.6775 2.6775 0.0000
Ga Si H
1 1 2
Direct
0.0000 0.0000 0.0000
0.5000 0.5000 0.5000
0.2500 0.2500 0.2500
0.7500 0.7500 0.7500
```

Output
* total magnetization: 0.00 μB per formula unit
* DOS at the Fermi energy: 0.1797 states/eV/atom
* calculated volume: 9.6 Å³/atom
* SG: Fm-3m (225)
* uncorrected energy: -3.28 eV/atom

Record 6
VASP calculation (PBEsol) on a relaxed KAlRu2 crystal.

```
KAlRu2
1.0
-1.3833 2.5119 5.0867
1.3833 -2.5119 5.0867
1.3833 2.5119 -5.0867
K Al Ru
1 1 2
Direct
0.0000 0.0000 0.0000
0.7007 0.2007 0.5000
0.2792 0.7792 0.5000
0.4807 0.4807 0.0000
```

Output
* total magnetization: 0.00 μB per formula unit
* DOS at the Fermi energy: 0.9144 states/eV/atom
* calculated volume: 17.7 Å³/atom
* SG: Imm2 (44)
* formation energy from the elements: 0.8211 eV/atom

Record 7
VASP calculation (PBEsol) on a relaxed MgAg3W crystal.

```
MgAg3W
1.0
4.5439 0.0000 0.0000
0.0000 4.5439 0.0000
0.0000 0.0000 4.5439
Mg Ag W
1 3 1
Direct
0.0000 0.0000 0.0000
0.0000 0.0000 0.5000
0.0000 0.5000 0.0000
0.5000 0.0000 0.0000
0.5000 0.5000 0.5000
```

Output
* total magnetization: 0.00 μB per formula unit
* DOS at the Fermi energy: 0.6280 states/eV/atom
* calculated volume: 18.8 Å³/atom
* SG: Pm-3m (221)
* formation energy from the elements: 1.6016 eV/atom

Record 8
VASP calculation (PBEsol) on a relaxed LiAlRe2 crystal.

```
LiAlRe2
1.0
3.0611 0.0000 0.0000
0.0000 4.2047 0.0000
0.0000 0.0000 4.3042
Li Al Re
1 1 2
Direct
0.0000 0.0000 0.0000
0.5000 0.5000 0.0000
0.0000 0.5000 0.5000
0.5000 0.0000 0.5000
```

Output
* total magnetization: 0.00 μB per formula unit
* DOS at the Fermi energy: 0.5500 states/eV/atom
* calculated volume: 13.8 Å³/atom
* SG: Pmmm (47)
* formation energy from the elements: 0.0761 eV/atom